1.
Material: CuHgH2O
Method: DFT, PBE
State: optimized geometry

The structure in extended XYZ format:
```
5
Lattice="3.793 0.000 0.000 0.000 3.793 0.000 0.000 0.000 3.833" Properties=species:S:1:pos:R:3 pbc="T T T"
Cu 0.000 0.000 0.000
Hg 1.896 1.896 0.000
H 0.000 1.896 1.916
H 1.896 0.000 1.916
O 0.000 0.000 1.916
```

Computed properties:
final energy: -2.63 eV/atom



2.
Material: AcPaGa
Method: DFT, PBE
State: optimized geometry

The structure in extended XYZ format:
```
3
Lattice="5.154 0.000 0.000 -2.577 4.463 0.000 0.000 0.000 3.669" Properties=species:S:1:pos:R:3 pbc="T T T"
Ac 0.000 0.000 0.000
Pa 0.000 2.976 1.578
Ga 2.577 1.488 2.307
```

Computed properties:
final energy: -5.33 eV/atom



3.
Material: NaTaGe2
Method: DFT, PBE
State: optimized geometry

The structure in extended XYZ format:
```
8
Lattice="-2.640 2.640 8.372 2.640 -2.640 8.372 2.640 2.640 -8.372" Properties=species:S:1:pos:R:3 pbc="T T T"
Na 0.000 0.000 0.000
Na 0.000 2.640 4.186
Ta 2.640 0.000 4.186
Ta 0.000 0.000 8.372
Ge 1.320 -0.453 6.279
Ge 2.187 1.320 2.093
Ge 1.320 3.093 -2.093
Ge 0.453 1.320 10.466
```

Computed properties:
final energy: -5.07 eV/atom



4.
Material: SmGa3NiPd
Method: DFT, PBE
State: optimized geometry

The structure in extended XYZ format:
```
12
Lattice="3.034 -6.122 0.000 3.034 6.122 0.000 0.000 0.000 5.847" Properties=species:S:1:pos:R:3 pbc="T T T"
Sm 3.034 3.357 4.385
Sm 3.034 -3.357 1.462
Ga 1.284 0.000 0.000
Ga 1.284 0.000 2.924
Ga 3.034 1.754 1.462
Ga 3.034 -1.754 4.385
Ga 4.783 0.000 0.000
Ga 4.783 0.000 2.924
Ni 3.034 0.733 4.385
Ni 3.034 -0.733 1.462
Pd 3.034 4.284 1.462
Pd 3.034 -4.284 4.385
```

Computed properties:
final energy: -4.62 eV/atom



5.
Material: Sr2ReHg
Method: DFT, PBE
State: optimized geometry

The structure in extended XYZ format:
```
4
Lattice="3.539 -1.566 0.000 3.539 1.566 0.000 -1.189 0.000 10.045" Properties=species:S:1:pos:R:3 pbc="T T T"
Sr 1.494 0.000 2.263
Sr 4.394 0.000 7.782
Re 3.539 0.000 0.000
Hg -0.595 0.000 5.022
```

Computed properties:
final energy: -3.27 eV/atom



6.
Material: Al2PtF
Method: DFT, PBE
State: optimized geometry

The structure in extended XYZ format:
```
4
Lattice="0.000 3.060 3.060 3.060 0.000 3.060 3.060 3.060 0.000" Properties=species:S:1:pos:R:3 pbc="T T T"
Al 1.530 1.530 1.530
Al 4.590 4.590 4.590
Pt 0.000 0.000 0.000
F 3.060 3.060 3.060
```

Computed properties:
final energy: -4.86 eV/atom
formation energy from raw total energies: -4.04 eV/f.u.



7.
Material: CrReAu2
Method: DFT, PBE
State: optimized geometry

The structure in extended XYZ format:
```
4
Lattice="4.750 0.000 0.000 0.000 4.750 0.000 0.000 0.000 2.952" Properties=species:S:1:pos:R:3 pbc="T T T"
Cr 0.000 0.000 0.000
Re 2.375 2.375 0.000
Au 0.000 2.375 1.476
Au 2.375 0.000 1.476
```

Computed properties:
final energy: -6.59 eV/atom



8.
Material: NaAlIn2Cl6
Method: DFT, PBE
State: optimized geometry

The structure in extended XYZ format:
```
10
Lattice="7.097 0.000 0.000 -3.549 6.146 0.000 0.000 0.000 6.877" Properties=species:S:1:pos:R:3 pbc="T T T"
Na 0.000 0.000 0.000
Al 0.000 0.000 3.439
In 0.000 4.098 4.317
In 3.549 2.049 2.561
Cl 0.000 1.914 2.069
Cl -1.891 5.189 2.069
Cl 1.658 0.957 4.808
Cl 1.891 5.189 2.069
Cl 5.440 0.957 4.808
Cl 3.549 4.232 4.808
```

Computed properties:
final energy: -3.46 eV/atom
formation energy from raw total energies: -12.99 eV/f.u.



9.
Material: Tb2Pm4PrNd2
Method: DFT, PBE
State: optimized geometry

The structure in extended XYZ format:
```
9
Lattice="9.541 -1.839 0.000 9.541 1.839 0.000 -4.241 0.000 8.806" Properties=species:S:1:pos:R:3 pbc="T T T"
Tb 2.119 0.000 1.469
Tb 12.721 0.000 7.338
Pm 0.013 0.000 7.347
Pm 8.489 0.000 1.442
Pm 6.351 0.000 7.364
Pm 14.827 0.000 1.460
Pr -2.121 0.000 4.403
Nd 4.226 0.000 4.412
Nd 10.614 0.000 4.394
```

Computed properties:
final energy: -4.73 eV/atom



10.
Material: CsTe2Mo
Method: DFT, PBE
State: optimized geometry

The structure in extended XYZ format:
```
4
Lattice="0.000 3.944 3.944 3.944 0.000 3.944 3.944 3.944 0.000" Properties=species:S:1:pos:R:3 pbc="T T T"
Cs 0.000 0.000 0.000
Te 1.972 1.972 1.972
Te 5.916 5.916 5.916
Mo 3.944 3.944 3.944
```

Computed properties:
final energy: -3.96 eV/atom
formation energy from raw total energies: 2.13 eV/f.u.



11.
Material: Sb2RuPtI
Method: DFT, PBE
State: optimized geometry

The structure in extended XYZ format:
```
5
Lattice="5.194 0.000 0.000 0.000 5.194 0.000 0.000 0.000 5.481" Properties=species:S:1:pos:R:3 pbc="T T T"
Sb 0.000 2.597 0.000
Sb 2.597 0.000 0.000
Ru 0.000 0.000 2.741
Pt 2.597 2.597 0.000
I 2.597 2.597 2.741
```

Computed properties:
final energy: -3.94 eV/atom
formation energy from raw total energies: 5.42 eV/f.u.



12.
Material: Ho4ZnSn3
Method: DFT, PBE
State: optimized geometry

The structure in extended XYZ format:
```
8
Lattice="4.275 0.000 0.000 0.000 4.402 0.000 0.000 0.000 11.272" Properties=species:S:1:pos:R:3 pbc="T T T"
Ho 0.000 0.000 0.000
Ho 0.000 2.201 5.503
Ho 2.138 0.000 8.087
Ho 2.138 2.201 2.487
Zn 0.000 0.000 3.071
Sn 0.000 2.201 8.581
Sn 2.138 0.000 4.901
Sn 2.138 2.201 10.686
```

Computed properties:
final energy: -4.56 eV/atom



13.
Material: K2PaAlS5
Method: DFT, PBE
State: optimized geometry

The structure in extended XYZ format:
```
18
Lattice="2.023 -9.166 0.000 2.023 9.166 0.000 0.000 0.000 14.121" Properties=species:S:1:pos:R:3 pbc="T T T"
K 2.023 7.422 7.061
K 2.023 6.966 2.345
K 2.023 -6.966 9.406
K 2.023 -7.422 0.000
Pa 2.023 5.327 12.236
Pa 2.023 -5.327 5.175
Al 2.023 1.253 3.580
Al 2.023 -1.253 10.641
S 2.023 8.089 11.950
S 2.023 3.750 6.879
S 2.023 3.567 3.336
S 2.023 2.888 11.896
S 2.023 0.128 1.764
S 2.023 -0.128 8.825
S 2.023 -2.888 4.835
S 2.023 -3.567 10.396
S 2.023 -3.750 13.940
S 2.023 -8.089 4.889
```

Computed properties:
final energy: -5.38 eV/atom
formation energy from raw total energies: -12.39 eV/f.u.



14.
Material: Dy8CuPd2
Method: DFT, PBE
State: optimized geometry

The structure in extended XYZ format:
```
11
Lattice="4.185 -6.497 0.000 4.185 6.497 0.000 -1.953 0.000 5.588" Properties=species:S:1:pos:R:3 pbc="T T T"
Dy 0.000 0.000 0.000
Dy 0.151 1.662 3.157
Dy 2.661 2.781 1.012
Dy 0.151 -1.662 3.157
Dy 3.293 1.654 4.355
Dy 2.661 -2.781 1.012
Dy 3.293 -1.654 4.355
Dy 5.382 0.000 2.038
Cu 2.353 0.000 1.990
Pd 1.723 3.995 3.834
Pd 1.723 -3.995 3.834
```

Computed properties:
final energy: -4.89 eV/atom



15.
Material: Dy3Ag5Se12
Method: DFT, PBE
State: optimized geometry

The structure in extended XYZ format:
```
80
Lattice="-8.049 8.049 8.049 8.049 -8.049 8.049 8.049 8.049 -8.049" Properties=species:S:1:pos:R:3 pbc="T T T"
Dy 4.024 2.012 0.000
Dy 8.049 4.024 -2.012
Dy 2.012 0.000 4.024
Dy 10.061 0.000 4.024
Dy 0.000 4.024 2.012
Dy 4.024 -2.012 8.049
Dy 4.024 10.061 0.000
Dy 8.049 4.024 6.037
Dy -2.012 8.049 4.024
Dy 6.037 8.049 4.024
Dy 0.000 4.024 10.061
Dy 4.024 6.037 8.049
Ag 0.000 0.000 0.000
Ag 4.024 4.024 -4.024
Ag 4.024 -4.024 4.024
Ag 8.049 0.000 0.000
Ag 12.073 2.012 0.000
Ag 8.049 -4.024 6.037
Ag 6.037 8.049 -4.024
Ag 6.037 0.000 4.024
Ag 4.024 6.037 0.000
Ag 8.049 4.024 2.012
Ag -4.024 4.024 4.024
Ag 0.000 8.049 0.000
Ag 0.000 0.000 8.049
Ag 4.024 4.024 4.024
Ag 0.000 4.024 6.037
Ag 4.024 2.012 8.049
Ag 2.012 8.049 4.024
Ag 2.012 0.000 12.073
Ag 0.000 12.073 2.012
Ag -4.024 6.037 8.049
Se 2.454 -0.255 1.060
Se 9.620 5.084 -4.279
Se 10.503 0.255 1.060
Se 9.620 -2.965 4.279
Se 7.794 -1.060 2.454
Se 12.328 -1.571 2.965
Se 1.060 2.454 -0.255
Se 11.014 3.770 -1.571
Se 5.084 4.279 -1.571
Se 6.989 2.454 0.255
Se -0.255 1.060 2.454
Se 4.279 -1.571 5.084
Se 7.794 6.989 -2.454
Se 4.279 1.571 2.965
Se 5.084 -4.279 9.620
Se 6.989 -2.454 7.794
Se 2.965 4.279 1.571
Se 9.109 5.595 0.255
Se 4.279 9.620 -2.965
Se 7.794 1.060 5.595
Se 2.454 7.794 -1.060
Se 9.620 2.965 3.770
Se 1.571 2.965 4.279
Se 2.454 0.255 6.989
Se 5.595 7.794 1.060
Se 6.478 5.084 3.770
Se -1.571 5.084 4.279
Se 5.595 0.255 9.109
Se 0.255 6.989 2.454
Se 3.770 -1.571 11.014
Se -1.060 2.454 7.794
Se 5.084 3.770 6.478
Se 1.060 10.503 0.255
Se 2.965 12.328 -1.571
Se 3.770 6.478 5.084
Se 0.255 1.060 10.503
Se 3.770 9.620 2.965
Se 8.304 6.989 5.595
Se 1.060 5.595 7.794
Se 2.965 3.770 9.620
Se -2.965 4.279 9.620
Se 6.989 5.595 8.304
Se -4.279 9.620 5.084
Se 0.255 9.109 5.595
Se -1.571 11.014 3.770
Se -2.454 7.794 6.989
Se -1.571 2.965 12.328
Se 5.595 8.304 6.989
```

Computed properties:
final energy: -4.03 eV/atom
formation energy from raw total energies: -10.74 eV/f.u.



16.
Material: Pm2Nd4SmTm2
Method: DFT, PBE
State: optimized geometry

The structure in extended XYZ format:
```
9
Lattice="9.413 -1.812 0.000 9.413 1.812 0.000 0.000 0.000 8.900" Properties=species:S:1:pos:R:3 pbc="T T T"
Pm 2.102 0.000 2.917
Pm 16.724 0.000 5.983
Nd 4.185 0.000 5.970
Nd 8.361 0.000 2.942
Nd 10.465 0.000 5.959
Nd 14.642 0.000 2.930
Sm 0.000 0.000 0.000
Tm 6.250 0.000 8.899
Tm 12.577 0.000 0.001
```

Computed properties:
final energy: -4.67 eV/atom



17.
Material: InTc2As
Method: DFT, PBE
State: optimized geometry

The structure in extended XYZ format:
```
8
Lattice="-2.055 2.055 9.110 2.055 -2.055 9.110 2.055 2.055 -9.110" Properties=species:S:1:pos:R:3 pbc="T T T"
In 0.000 0.000 0.000
In 0.000 2.055 4.555
Tc 1.028 -0.645 6.833
Tc 1.410 1.028 2.278
Tc 1.028 2.700 -2.278
Tc 0.645 1.028 11.388
As 2.055 0.000 4.555
As 0.000 0.000 9.110
```

Computed properties:
final energy: -6.57 eV/atom



18.
Material: BaP3Os
Method: DFT, PBE
State: optimized geometry

The structure in extended XYZ format:
```
5
Lattice="5.327 0.000 0.000 0.000 5.327 0.000 0.000 0.000 5.327" Properties=species:S:1:pos:R:3 pbc="T T T"
Ba 0.000 0.000 0.000
P 0.000 0.000 2.663
P 0.000 2.663 0.000
P 2.663 0.000 0.000
Os 2.663 2.663 2.663
```

Computed properties:
final energy: -3.07 eV/atom



19.
Material: CsBiPt
Method: DFT, PBE
State: optimized geometry

The structure in extended XYZ format:
```
6
Lattice="6.592 -2.392 0.000 6.592 2.392 0.000 -1.096 0.000 7.012" Properties=species:S:1:pos:R:3 pbc="T T T"
Cs 1.247 0.000 2.474
Cs 10.842 0.000 4.538
Bi 5.080 0.000 0.918
Bi 7.009 0.000 6.094
Pt 1.700 0.000 6.376
Pt 10.389 0.000 0.637
```

Computed properties:
final energy: -3.94 eV/atom



20.
Material: Ti6CoIr2
Method: DFT, PBE
State: optimized geometry

The structure in extended XYZ format:
```
9
Lattice="-2.117 2.994 6.302 2.117 -2.994 6.302 2.117 2.994 -6.302" Properties=species:S:1:pos:R:3 pbc="T T T"
Ti 2.117 1.467 -2.049
Ti 0.000 1.438 0.000
Ti 2.117 1.467 2.049
Ti 0.000 1.527 4.253
Ti 0.000 4.550 0.000
Ti 0.000 1.527 8.351
Co 2.117 0.000 0.000
Ir 2.117 0.000 4.211
Ir 0.000 2.994 2.091
```

Computed properties:
final energy: -8.32 eV/atom